# 1
DFT (GGA-PBE) results for a relaxed structure of CuPd3Au2.

* V: 189.83 Å³/cell
* energy relative to the elements: -0.4 eV/f.u.
* electronic total energy: -53.31 eV/cell

Lattice parameters (Å, degrees): 6.422 6.422 7.720 90.00 90.00 143.40
Sites, in units of the cell vectors:
Cu: 0.166 0.834 0.000
Cu: 0.834 0.166 0.000
Pd: 0.000 0.000 0.242
Pd: 0.000 0.000 0.758
Pd: 0.330 0.670 0.233
Pd: 0.330 0.670 0.767
Pd: 0.670 0.330 0.233
Pd: 0.670 0.330 0.767
Au: 0.167 0.833 0.500
Au: 0.500 0.500 0.000
Au: 0.500 0.500 0.500
Au: 0.833 0.167 0.500


# 2
DFT (GGA-PBE) results for a relaxed structure of Sc2TaAu.

* V: 167.67 Å³/cell
* energy relative to the elements: 1.3 eV/f.u.
* electronic total energy: -52.92 eV/cell

Lattice parameters (Å, degrees): 10.305 10.305 10.305 156.95 156.95 32.83
Sites, in units of the cell vectors:
Sc: 0.125 0.625 0.000
Sc: 0.375 0.375 0.500
Sc: 0.625 0.125 0.000
Sc: 0.875 0.875 0.500
Ta: 0.000 0.000 0.000
Ta: 0.750 0.250 0.500
Au: 0.250 0.750 0.500
Au: 0.500 0.500 0.000


# 3
DFT (GGA-PBE) results for a relaxed structure of Nb3Fe2N.

* E_form (uncorrected): -0.396 eV per atom
* V: 334.18 Å³/cell
* electronic total energy: -231.35 eV/cell

Lattice parameters (Å, degrees): 6.939 6.939 6.939 90.00 90.00 90.00
Sites, in units of the cell vectors:
Nb: 0.045 0.125 0.795
Nb: 0.125 0.795 0.045
Nb: 0.205 0.545 0.375
Nb: 0.295 0.455 0.875
Nb: 0.375 0.205 0.545
Nb: 0.455 0.875 0.295
Nb: 0.545 0.375 0.205
Nb: 0.625 0.705 0.955
Nb: 0.705 0.955 0.625
Nb: 0.795 0.045 0.125
Nb: 0.875 0.295 0.455
Nb: 0.955 0.625 0.705
Fe: 0.074 0.926 0.426
Fe: 0.176 0.176 0.176
Fe: 0.324 0.824 0.676
Fe: 0.426 0.074 0.926
Fe: 0.574 0.574 0.574
Fe: 0.676 0.324 0.824
Fe: 0.824 0.676 0.324
Fe: 0.926 0.426 0.074
N: 0.125 0.375 0.625
N: 0.375 0.625 0.125
N: 0.625 0.125 0.375
N: 0.875 0.875 0.875


# 4
DFT (GGA-PBE) results for a relaxed structure of MnZnHg2.

* V: 74.97 Å³/cell
* energy relative to the elements: 1.3 eV/f.u.
* electronic total energy: -9.75 eV/cell

Lattice parameters (Å, degrees): 4.733 4.733 4.733 60.00 60.00 60.00
Sites, in units of the cell vectors:
Mn: 0.000 0.000 0.000
Zn: 0.750 0.750 0.750
Hg: 0.250 0.250 0.250
Hg: 0.500 0.500 0.500


# 5
DFT (GGA-PBE) results for a relaxed structure of NaSn2Bi.

* V: 251.69 Å³/cell
* energy relative to the elements: -0.1 eV/f.u.
* electronic total energy: -26.68 eV/cell

Lattice parameters (Å, degrees): 7.043 7.043 7.043 101.86 101.86 126.08
Sites, in units of the cell vectors:
Na: 0.000 0.000 0.000
Na: 0.750 0.250 0.500
Sn: 0.149 0.625 0.024
Sn: 0.375 0.399 0.524
Sn: 0.601 0.125 0.976
Sn: 0.875 0.851 0.476
Bi: 0.250 0.750 0.500
Bi: 0.500 0.500 0.000


# 6
DFT (GGA-PBE) results for a relaxed structure of LiTm2ScTl4.

* V: 196.67 Å³/cell
* energy relative to the elements: -2.3 eV/f.u.
* electronic total energy: -28.91 eV/cell

Lattice parameters (Å, degrees): 9.063 9.063 9.063 33.02 33.02 33.02
Sites, in units of the cell vectors:
Li: 0.000 0.000 0.000
Tm: 0.253 0.253 0.253
Tm: 0.747 0.747 0.747
Sc: 0.500 0.500 0.500
Tl: 0.124 0.124 0.124
Tl: 0.374 0.374 0.374
Tl: 0.626 0.626 0.626
Tl: 0.876 0.876 0.876


# 7
DFT (GGA-PBE) results for a relaxed structure of Tb9DyY2.

* V: 384.05 Å³/cell
* energy relative to the elements: 0.6 eV/f.u.
* electronic total energy: -58.56 eV/cell

Lattice parameters (Å, degrees): 11.268 11.268 3.493 90.00 90.00 120.00
Sites, in units of the cell vectors:
Tb: 0.000 0.500 0.000
Tb: 0.175 0.350 0.500
Tb: 0.175 0.825 0.500
Tb: 0.350 0.175 0.500
Tb: 0.500 0.000 0.000
Tb: 0.500 0.500 0.000
Tb: 0.650 0.825 0.500
Tb: 0.825 0.175 0.500
Tb: 0.825 0.650 0.500
Dy: 0.000 0.000 0.000
Y: 0.333 0.667 0.000
Y: 0.667 0.333 0.000


# 8
DFT (GGA-PBE) results for a relaxed structure of Er2Tl5I12.

* E_form (uncorrected): -0.884 eV per atom
* V: 879.23 Å³/cell
* electronic total energy: -56.35 eV/cell

Lattice parameters (Å, degrees): 10.506 10.506 11.121 108.00 108.00 49.62
Sites, in units of the cell vectors:
Er: 0.247 0.753 0.000
Er: 0.753 0.247 0.000
Tl: 0.183 0.183 0.824
Tl: 0.220 0.220 0.369
Tl: 0.500 0.500 0.500
Tl: 0.780 0.780 0.631
Tl: 0.817 0.817 0.176
I: 0.008 0.008 0.197
I: 0.075 0.595 0.915
I: 0.117 0.623 0.442
I: 0.377 0.883 0.558
I: 0.405 0.925 0.085
I: 0.495 0.495 0.811
I: 0.505 0.505 0.189
I: 0.595 0.075 0.915
I: 0.623 0.117 0.442
I: 0.883 0.377 0.558
I: 0.925 0.405 0.085
I: 0.992 0.992 0.803


- What is the electronic total energy in the seventh record?
  -58.56 eV/cell